Below is an optimized crystal structure of BeRe2Cl, with properties calculated at the PBE level.

a = 4.5409 Å, b = 4.5409 Å, c = 4.5409 Å
α = 128.14°, β = 128.14°, γ = 76.39°
With the nearest neighbours (Å) after each atom.
Fractional coordinates of all 4 atoms:
Re1 0.0000 0.0000 0.0000  4 Cl 2.67, 4 Re 2.67, 4 Be 2.81
Re2 0.2500 0.7500 0.5000  4 Re 2.67, 4 Be 2.67, 4 Cl 2.81
Be1 0.5000 0.5000 0.0000  8 Re 2.67-2.81, 4 Cl 2.67
Cl1 0.7500 0.2500 0.5000  8 Re 2.67-2.81, 4 Be 2.67

Calculated values
D(E_F): 2.36 states/eV per cell
crystal system: tetragonal
polymorph energy (0 for the lowest one): 879 meV per atom


Below is an optimized crystal structure of BeReCl, with properties calculated at the PBE level.

a = 4.2126 Å, b = 4.2126 Å, c = 2.6898 Å
α = 90.00°, β = 90.00°, γ = 120.00°
With the nearest neighbours (Å) after each atom.
Fractional coordinates of all 3 atoms:
Re1 0.6667 0.3333 0.4999  3 Cl 2.43, 2 Re 2.69
Be1 0.0000 0.0000 0.0005  2 Be 2.69, 6 Cl 2.78, 6 Re 2.78
Cl1 0.3333 0.6667 0.4996  3 Re 2.43, 2 Cl 2.69

Calculated values
D(E_F): 2.62 states/eV per cell
crystal system: hexagonal
polymorph energy (0 for the lowest one): 647 meV per atom


Below is an optimized crystal structure of Be2ReCl2, with properties calculated at the PBE level.

a = 7.8325 Å, b = 7.8325 Å, c = 2.8583 Å
α = 90.00°, β = 90.00°, γ = 90.00°
With the nearest neighbours (Å) after each atom.
Fractional coordinates of all 10 atoms:
Re1 0.0000 0.0000 0.0000  4 Be 2.77, 2 Re 2.86
Re2 0.5000 0.5000 0.0000  4 Be 2.77, 2 Re 2.86
Be1 0.2486 0.7486 0.0000  2 Cl 1.95
Be2 0.7486 0.7514 0.0000  2 Cl 1.95
Be3 0.7514 0.2514 0.0000  2 Cl 1.95
Be4 0.2514 0.2486 0.0000  2 Cl 1.95
Cl1 0.1288 0.6288 0.5000  2 Be 1.95
Cl2 0.6288 0.8712 0.5000  2 Be 1.95
Cl3 0.8712 0.3712 0.5000  2 Be 1.95
Cl4 0.3712 0.1288 0.5000  2 Be 1.95

Calculated values
D(E_F): 3.41 states/eV per cell
crystal system: tetragonal
polymorph energy (0 for the lowest one): 0 meV per atom